1.
The following is a DFT calculation (PBE) of Th6BCl15 after structural relaxation.

The structure in POSCAR format:
```
Th6BCl15
1.0
-5.577 5.577 5.577
5.577 -5.577 5.577
5.577 5.577 -5.577
Th B Cl
6 1 15
Direct
0.000 0.242 0.242
0.000 0.758 0.758
0.242 0.000 0.242
0.242 0.242 0.000
0.758 0.000 0.758
0.758 0.758 0.000
0.000 0.000 0.000
0.000 0.249 0.751
0.000 0.500 0.500
0.000 0.751 0.249
0.249 0.000 0.751
0.249 0.249 0.498
0.249 0.498 0.249
0.249 0.751 0.000
0.498 0.249 0.249
0.500 0.000 0.500
0.500 0.500 0.000
0.502 0.751 0.751
0.751 0.000 0.249
0.751 0.249 0.000
0.751 0.502 0.751
0.751 0.751 0.502
```

---

2.
The following is a DFT calculation (PBE) of Ti2BCl2 after structural relaxation.

The structure in POSCAR format:
```
Ti2BCl2
1.0
-1.905 1.905 6.410
1.905 -1.905 6.410
1.905 1.905 -6.410
Ti B Cl
2 1 2
Direct
0.250 0.750 0.500
0.750 0.250 0.500
0.000 0.000 0.000
0.376 0.376 0.000
0.624 0.624 0.000
```

ΔE to the lowest computed polymorph ... 154 meV per atom

---

3.
The following is a DFT calculation (PBE) of TiB2Cl after structural relaxation.

The structure in POSCAR format:
```
TiB2Cl
1.0
-2.737 2.737 3.454
2.737 -2.737 3.454
2.737 2.737 -3.454
Ti B Cl
2 4 2
Direct
0.000 0.000 0.000
0.750 0.250 0.500
0.169 0.125 0.544
0.375 0.831 0.956
0.581 0.625 0.456
0.875 0.419 0.044
0.250 0.750 0.500
0.500 0.500 0.000
```

ΔE to the lowest computed polymorph ... 0 meV per atom

---

| no. | formation energy without anion corrections (meV/atom) | calculated total energy (eV/atom) | total magnetization (μB/f.u.) |
| --- | --- | --- | --- |
| 1 | -1900 | -5.49 | 2.11 |
| 2 | 476 | -4.76 | 0.38 |
| 3 | 1154 | -4.62 | 0.00 |